Record 1
Below is a PBEsol-optimized structure of TlInPb, with properties calculated at the meta-GGA SCAN level.

Output
- Excess energy over the best structure of this formula in the dataset: 10 meV/atom
- Total moment: 0.0 μB/cell
- Uncorrected energy: -60.46 eV/atom
- ΔH_f (0 K): 0.05 eV/atom
- Space group: Fmm2

Unit cell a=3.330 b=3.330 c=8.343 alpha=97.19 beta=97.19 gamma=111.88
Fractional positions:
Pb  0.664  0.664  0.327
In  0.000  0.000  0.999
Tl  0.337  0.337  0.674

=====

Record 2
Below is a PBEsol-optimized structure of ZnCo2Cl, with properties calculated at the meta-GGA SCAN level.

Output
- Excess energy over the best structure of this formula in the dataset: 0 meV/atom
- Total moment: 3.4 μB/cell
- Uncorrected energy: -13.99 eV/atom
- Formation energy (no corrections): 40 meV/atom
- Space group: Pmmm

Unit cell a=2.971 b=3.221 c=5.960 alpha=90.05 beta=90.00 gamma=90.00
Each line ends with the local moment (μB).
Fractional positions:
Zn  0.500  0.000  0.500  -0.08
Co  0.000  0.500  0.308  1.71
Co  0.000  0.500  0.692  1.71
Cl  0.500  0.500  0.000  0.04

=====

Record 3
Below is a PBEsol-optimized structure of La2ZrIF, with properties calculated at the meta-GGA SCAN level.

Output
- Total moment: 0.0 μB/cell
- Uncorrected energy: -31.34 eV/atom
- Formation energy (no corrections): 98 meV/atom
- Space group: P4/mmm

Unit cell a=5.115 b=5.982 c=5.982 alpha=90.00 beta=90.00 gamma=90.00
Fractional positions:
I  0.000  0.000  0.000
F  0.500  0.500  0.500
Zr  0.500  0.000  0.000
La  0.000  0.500  0.000
La  0.000  0.000  0.500

=====

Record 4
Below is a PBEsol-optimized structure of Na2MnSiNi, with properties calculated at the meta-GGA SCAN level.

Output
- Total moment: 4.9 μB/cell
- Uncorrected energy: -10.09 eV/atom
- Formation energy (no corrections): 483 meV/atom
- Space group: P4/mmm

Unit cell a=4.301 b=5.011 c=5.011 alpha=90.00 beta=90.00 gamma=90.00
Each line ends with the local moment (μB).
Fractional positions:
Na  0.000  0.000  0.500  -0.01
Na  0.000  0.500  0.000  -0.01
Ni  0.000  0.000  0.000  0.08
Si  0.500  0.000  0.000  -0.03
Mn  0.500  0.500  0.500  4.62

=====

Record 5
Below is a PBEsol-optimized structure of Ca3MgO, with properties calculated at the meta-GGA SCAN level.

Output
- Total moment: 0.0 μB/cell
- Uncorrected energy: -9.28 eV/atom
- Formation energy (no corrections): -1240 meV/atom
- Space group: Pm-3m

Unit cell a=4.921 b=4.921 c=4.921 alpha=90.00 beta=90.00 gamma=90.00
Fractional positions:
Mg  0.500  0.500  0.500
Ca  0.000  0.500  0.000
Ca  0.500  0.000  0.000
Ca  0.000  0.000  0.500
O  0.000  0.000  0.000

=====

Record 6
Below is a PBEsol-optimized structure of LiMg2Cd, with properties calculated at the meta-GGA SCAN level.

Output
- Total moment: 0.0 μB/cell
- Uncorrected energy: -10.88 eV/atom
- ΔH_f (0 K): -0.19 eV/atom
- Space group: P4/mmm

Unit cell a=4.523 b=3.869 c=4.523 alpha=90.00 beta=90.00 gamma=90.00
Fractional positions:
Li  0.000  0.500  0.500
Mg  0.000  0.000  0.000
Mg  0.500  0.000  0.500
Cd  0.500  0.500  0.000